Record 1
The following is a PBE-GGA calculation of crystalline CsBaHf2 at its relaxed geometry, from the Alexandria database.

Calculated values
spin magnetization	0.00	μB/atom
ΔE_f	1.552	eV per atom
distance to the lowest polymorph of the same formula	0.50	kcal/mol of atoms
D(E_F)	7.43	states/eV/f.u.

Cell: 7.466 7.466 7.466 Å, 100.28 100.28 130.03°
Fractional positions:
Cs (0.000, 0.000, 0.000)
Cs (0.750, 0.250, 0.500)
Ba (0.250, 0.750, 0.500)
Ba (0.500, 0.500, 0.000)
Hf (0.111, 0.625, 0.986)
Hf (0.375, 0.361, 0.486)
Hf (0.639, 0.125, 0.014)
Hf (0.875, 0.889, 0.514)

=====

Record 2
The following is a PBE-GGA calculation of crystalline GePd3Au at its relaxed geometry, from the Alexandria database.

Calculated values
spin magnetization	0.00	μB/atom
ΔE_f	-0.023	eV per atom
distance to the lowest polymorph of the same formula	6.23	kcal/mol of atoms
D(E_F)	2.36	states/eV/f.u.

Cell: 6.220 6.220 5.219 Å, 90.00 90.00 120.00°
Fractional positions:
Ge (0.000, 0.000, 0.000)
Ge (0.000, 0.000, 0.500)
Pd (0.189, 0.377, 0.250)
Pd (0.189, 0.811, 0.250)
Pd (0.377, 0.189, 0.750)
Pd (0.623, 0.811, 0.250)
Pd (0.811, 0.189, 0.750)
Pd (0.811, 0.623, 0.750)
Au (0.333, 0.667, 0.750)
Au (0.667, 0.333, 0.250)